[1]
Here is a relaxed structure of BeTcTe2 from the Alexandria database. Energies are from GGA-PBE.

Results
As for the final energy: -4.80 eV per atom.

Cell lengths 5.934, 5.934, 11.167 Å; angles 90.00, 90.00, 90.00 degrees
Space group I-42d (No. 122)
Asymmetric unit:
Be 0.000 0.000 0.000 (multiplicity 4)
Tc 0.000 0.000 0.500 (multiplicity 4)
Te 0.228 0.250 0.125 (multiplicity 8)

***

[2]
Here is a relaxed structure of NaPm4Cd5 from the Alexandria database. Energies are from GGA-PBE.

Results
Its energy of formation is -0.26 eV/atom.

Cell lengths 3.797, 3.797, 19.343 Å; angles 90.00, 90.00, 90.00 degrees
Space group P4/mmm (No. 123)
Asymmetric unit:
Na 0.000 0.000 0.000 (multiplicity 1)
Pm 0.000 0.000 0.199 (multiplicity 2)
Pm 0.000 0.000 0.400 (multiplicity 2)
Cd 0.500 0.500 0.100 (multiplicity 2)
Cd 0.500 0.500 0.300 (multiplicity 2)
Cd 0.500 0.500 0.500 (multiplicity 1)

***

[3]
Here is a relaxed structure of Pa2NiH from the Alexandria database. Energies are from GGA-PBE.

Results
The energy above the lowest structure with this stoichiometry is 0.00 eV per formula unit.

Cell lengths 3.2752, 3.2752, 21.5050 Å; angles 90.00, 90.00, 120.00 degrees
Space group R-3m (No. 166, hexagonal axes)
Asymmetric unit:
Pa 0.0000 0.0000 0.2393 (multiplicity 6)
Ni 0.0000 0.0000 0.0000 (multiplicity 3)
H 0.0000 0.0000 0.5000 (multiplicity 3)

***

[4]
Here is a relaxed structure of TiCrTeN2 from the Alexandria database. Energies are from GGA-PBE.

Results
The energy above the lowest structure with this stoichiometry is 0.00 eV per formula unit.

Cell lengths 3.909, 3.909, 5.818 Å; angles 90.00, 90.00, 90.00 degrees
Space group P4/mmm (No. 123)
Asymmetric unit:
Ti 0.000 0.000 0.000 (multiplicity 1)
Cr 0.500 0.500 0.500 (multiplicity 1)
Te 0.000 0.000 0.500 (multiplicity 1)
N 0.000 0.500 0.000 (multiplicity 2)

***

[5]
Here is a relaxed structure of TcAsW from the Alexandria database. Energies are from GGA-PBE.

Results
Its energy of formation is 0.13 eV/atom. The energy above the lowest structure with this stoichiometry is 0.16 eV per formula unit.

Cell lengths 3.0951, 3.0951, 11.3549 Å; angles 90.00, 90.00, 120.00 degrees
Space group P-6m2 (No. 187)
Asymmetric unit:
Tc 0.0000 0.0000 0.1830 (multiplicity 2)
As 0.6667 0.3333 0.3386 (multiplicity 2)
W 0.0000 0.0000 0.5000 (multiplicity 1)
W 0.6667 0.3333 0.0000 (multiplicity 1)

***

[6]
Here is a relaxed structure of AlW2Au from the Alexandria database. Energies are from GGA-PBE.

Results
Its energy of formation is 0.09 eV/atom.

Cell lengths 3.314, 3.314, 5.987 Å; angles 90.00, 90.00, 90.00 degrees
Space group P4mm (No. 99)
Asymmetric unit:
Al 0.000 0.000 0.000 (multiplicity 1)
W 0.000 0.000 0.528 (multiplicity 1)
W 0.500 0.500 0.730 (multiplicity 1)
Au 0.500 0.500 0.218 (multiplicity 1)

***

[7]
Here is a relaxed structure of Pr4CoCuCl2 from the Alexandria database. Energies are from GGA-PBE.

Results
As for the final energy: -5.03 eV per atom.

Cell lengths 7.083, 4.093, 7.850 Å; angles 90.00, 107.23, 90.00 degrees
Space group P2/m (No. 10)
Asymmetric unit:
Pr 0.230 0.000 0.206 (multiplicity 2)
Pr 0.242 0.500 0.789 (multiplicity 2)
Co 0.000 0.500 0.000 (multiplicity 1)
Cu 0.500 0.000 0.000 (multiplicity 1)
Cl 0.000 0.000 0.500 (multiplicity 1)
Cl 0.500 0.500 0.500 (multiplicity 1)